Entry 1:
# Na3AcPm2Se6

A relaxed structure of Na3AcPm2Se6 (GGA-PBE, Alexandria via LeMat-Bulk).

Cell and atoms, written as POSCAR:
```
Na3AcPm2Se6
1.0
7.529 -0.002 0.000
-3.764 6.520 0.000
-1.256 -2.175 7.013
Na Ac Pm Se
3 1 2 6
Direct
0.167 0.833 0.500
0.833 0.167 0.500
0.500 0.500 0.500
0.000 0.000 0.000
0.333 0.667 0.000
0.667 0.333 0.000
0.921 0.575 0.763
0.734 0.734 0.239
0.079 0.425 0.237
0.575 0.921 0.763
0.266 0.266 0.761
0.425 0.079 0.237
```

Values from the calculation:
Density of states at the Fermi level in states/eV/atom: 0.000
Space group: C2/m
Crystal system: monoclinic
Formation energy from raw total energies in meV/atom: -1698.8


Entry 2:
# Na2AcPm3Se6

A relaxed structure of Na2AcPm3Se6 (GGA-PBE, Alexandria via LeMat-Bulk).

Cell and atoms, written as POSCAR:
```
Na2AcPm3Se6
1.0
7.322 -0.001 0.001
-3.660 6.342 0.001
-1.221 -2.114 7.151
Na Ac Pm Se
2 1 3 6
Direct
0.333 0.667 0.000
0.667 0.333 0.000
0.000 0.000 0.000
0.167 0.833 0.500
0.833 0.167 0.500
0.500 0.500 0.500
0.914 0.576 0.741
0.749 0.749 0.260
0.086 0.424 0.259
0.576 0.914 0.741
0.251 0.251 0.740
0.424 0.086 0.259
```

Values from the calculation:
Density of states at the Fermi level in states/eV/atom: 0.293
Space group: C2/m
Crystal system: monoclinic
Formation energy from raw total energies in meV/atom: -1749.6


Entry 3:
# NaAc4Pm3Se8

A relaxed structure of NaAc4Pm3Se8 (GGA-PBE, Alexandria via LeMat-Bulk).

Cell and atoms, written as POSCAR:
```
NaAc4Pm3Se8
1.0
-0.778 0.582 8.647
-7.829 -3.661 -0.458
6.903 -3.986 -3.489
Na Ac Pm Se
1 4 3 8
Direct
0.000 0.500 0.000
0.500 0.000 0.000
0.500 0.000 0.500
0.000 0.000 0.000
0.000 0.000 0.500
0.500 0.500 0.000
0.500 0.500 0.500
0.000 0.500 0.500
0.243 0.732 0.988
0.243 0.732 0.486
0.256 0.267 0.511
0.745 0.732 0.988
0.255 0.268 0.012
0.744 0.733 0.489
0.757 0.268 0.514
0.757 0.268 0.012
```

Values from the calculation:
Density of states at the Fermi level in states/eV/atom: 0.637
Space group: R-3m
Crystal system: trigonal
Formation energy from raw total energies in meV/atom: -1804.4


Entry 4:
# NaAcPmSi

A relaxed structure of NaAcPmSi (GGA-PBE, Alexandria via LeMat-Bulk).

Cell and atoms, written as POSCAR:
```
NaAcPmSi
1.0
5.433 0.000 0.000
2.716 4.705 0.000
2.716 1.568 4.436
Na Ac Si Pm
1 1 1 1
Direct
0.250 0.250 0.250
0.500 0.500 0.500
0.750 0.750 0.750
0.000 0.000 0.000
```

Values from the calculation:
Density of states at the Fermi level in states/eV/atom: 0.767
Space group: F-43m
Crystal system: cubic
Formation energy from raw total energies in meV/atom: -101.3


Entry 5:
# Na2AcPm3Te6

A relaxed structure of Na2AcPm3Te6 (GGA-PBE, Alexandria via LeMat-Bulk).

Cell and atoms, written as POSCAR:
```
Na2AcPm3Te6
1.0
-6.851 -3.714 -0.072
6.467 -3.707 -2.274
1.316 0.152 7.960
Na Ac Pm Te
2 1 3 6
Direct
0.333 0.667 0.000
0.667 0.333 0.000
0.000 0.000 0.000
0.165 0.835 0.500
0.835 0.165 0.500
0.500 0.500 0.500
0.914 0.575 0.741
0.746 0.746 0.258
0.086 0.425 0.259
0.575 0.914 0.741
0.254 0.254 0.742
0.425 0.086 0.259
```

Values from the calculation:
Density of states at the Fermi level in states/eV/atom: 0.327
Space group: C2/m
Crystal system: monoclinic
Formation energy from raw total energies in meV/atom: -1381.4


Entry 6:
# NaAc2PmTe5

A relaxed structure of NaAc2PmTe5 (GGA-PBE, Alexandria via LeMat-Bulk).

Cell and atoms, written as POSCAR:
```
NaAc2PmTe5
1.0
4.653 0.000 0.000
-2.327 9.629 0.000
0.000 0.000 14.129
Na Ac Pm Te
2 4 2 10
Direct
0.535 0.069 0.967
0.465 0.931 0.467
0.868 0.736 0.800
0.104 0.209 0.684
0.132 0.264 0.300
0.896 0.791 0.184
0.799 0.598 0.508
0.201 0.402 0.008
0.365 0.731 0.998
0.688 0.377 0.851
0.494 0.988 0.771
0.280 0.560 0.662
0.945 0.889 0.582
0.635 0.269 0.498
0.312 0.623 0.351
0.506 0.012 0.271
0.720 0.440 0.162
0.055 0.111 0.082
```

Values from the calculation:
Space group: Cmc2_1
Crystal system: orthorhombic
Formation energy from raw total energies in meV/atom: -1393.7


Entry 7:
# Na2AcPmTe4

A relaxed structure of Na2AcPmTe4 (GGA-PBE, Alexandria via LeMat-Bulk).

Cell and atoms, written as POSCAR:
```
Na2AcPmTe4
1.0
4.655 0.000 0.000
0.000 8.070 0.138
0.000 -2.813 7.511
Na Ac Pm Te
2 1 1 4
Direct
0.500 0.000 0.500
0.000 0.500 0.500
0.500 0.500 0.000
0.000 0.000 0.000
0.500 0.236 0.240
0.500 0.764 0.760
0.000 0.240 0.754
0.000 0.760 0.246
```

Values from the calculation:
Space group: P2/m
Crystal system: monoclinic
Formation energy from raw total energies in meV/atom: -1355.0


Entry 8:
# NaAc3Pm2Te6

A relaxed structure of NaAc3Pm2Te6 (GGA-PBE, Alexandria via LeMat-Bulk).

Cell and atoms, written as POSCAR:
```
NaAc3Pm2Te6
1.0
4.627 0.000 0.000
0.000 9.201 0.404
-2.314 -2.570 9.709
Na Ac Pm Te
1 3 2 6
Direct
0.500 0.000 0.000
0.500 0.500 0.000
0.836 0.167 0.672
0.164 0.833 0.328
0.830 0.655 0.659
0.170 0.345 0.341
0.335 0.903 0.670
0.668 0.579 0.337
0.665 0.097 0.330
0.007 0.242 0.013
0.993 0.758 0.987
0.332 0.421 0.663
```

Values from the calculation:
Density of states at the Fermi level in states/eV/atom: 0.389
Space group: C2/m
Crystal system: monoclinic
Formation energy from raw total energies in meV/atom: -1432.4


Entry 9:
# NaAc2Pm3Te6

A relaxed structure of NaAc2Pm3Te6 (GGA-PBE, Alexandria via LeMat-Bulk).

Cell and atoms, written as POSCAR:
```
NaAc2Pm3Te6
1.0
4.547 0.000 0.000
0.000 9.229 0.238
-2.274 -2.755 9.643
Na Ac Pm Te
1 2 3 6
Direct
0.500 0.000 0.000
0.834 0.667 0.667
0.166 0.333 0.333
0.500 0.500 0.000
0.833 0.174 0.666
0.167 0.826 0.334
0.334 0.932 0.667
0.662 0.589 0.324
0.666 0.068 0.333
0.996 0.251 0.992
0.004 0.749 0.008
0.338 0.411 0.676
```

Values from the calculation:
Density of states at the Fermi level in states/eV/atom: 0.381
Space group: C2/m
Crystal system: monoclinic
Formation energy from raw total energies in meV/atom: -1419.8


Entry 10:
# NaAcPm2Te4

A relaxed structure of NaAcPm2Te4 (GGA-PBE, Alexandria via LeMat-Bulk).

Cell and atoms, written as POSCAR:
```
NaAcPm2Te4
1.0
-2.303 -3.688 -1.254
6.618 -3.222 -2.677
-0.944 -2.040 7.731
Na Ac Pm Te
1 1 2 4
Direct
0.500 0.500 0.000
0.000 0.000 0.000
0.500 0.000 0.500
0.000 0.500 0.500
0.500 0.261 0.261
0.500 0.739 0.739
0.000 0.251 0.741
0.000 0.749 0.259
```

Values from the calculation:
Density of states at the Fermi level in states/eV/atom: 0.375
Space group: P2/m
Crystal system: monoclinic
Formation energy from raw total energies in meV/atom: -1401.8


Entry 11:
# NaAcPmZn

A relaxed structure of NaAcPmZn (GGA-PBE, Alexandria via LeMat-Bulk).

Cell and atoms, written as POSCAR:
```
NaAcPmZn
1.0
-1.418 -0.969 5.304
-5.096 -1.902 1.220
-0.665 -5.236 1.796
Na Ac Zn Pm
1 1 1 1
Direct
0.500 0.500 0.500
0.250 0.250 0.250
0.000 0.000 0.000
0.750 0.750 0.750
```

Values from the calculation:
Density of states at the Fermi level in states/eV/atom: 1.600
E_form in eV/atom: 0.07
Space group: F-43m
Crystal system: cubic


Entry 12:
# Na2Ac2Pr

A relaxed structure of Na2Ac2Pr (GGA-PBE, Alexandria via LeMat-Bulk).

Cell and atoms, written as POSCAR:
```
Na2Ac2Pr
1.0
-3.617 -0.886 -1.075
-2.695 -0.734 2.688
-3.860 15.357 0.323
Na Ac Pr
2 2 1
Direct
0.333 0.333 0.598
0.667 0.667 0.402
0.334 0.334 0.195
0.666 0.666 0.805
0.000 0.000 0.000
```

Values from the calculation:
Density of states at the Fermi level in states/eV/atom: 0.791
E_form in eV/atom: 0.05
Space group: P-3m1
Crystal system: trigonal


Entry 13:
# NaAcPr

A relaxed structure of NaAcPr (GGA-PBE, Alexandria via LeMat-Bulk).

Cell and atoms, written as POSCAR:
```
NaAcPr
1.0
3.830 0.000 0.000
-1.915 3.317 0.000
0.000 0.000 9.534
Pr Na Ac
1 1 1
Direct
0.333 0.667 0.661
0.000 0.000 0.995
0.667 0.333 0.345
```

Values from the calculation:
Density of states at the Fermi level in states/eV/atom: 1.162
E_form in eV/atom: 0.11
Space group: P3m1
Energy relative to the lowest polymorph listed for this composition in eV/atom: 0.021
Crystal system: trigonal


Entry 14:
# NaAc4Pr

A relaxed structure of NaAc4Pr (GGA-PBE, Alexandria via LeMat-Bulk).

Cell and atoms, written as POSCAR:
```
NaAc4Pr
1.0
-6.964 -1.667 -1.632
-1.859 -6.946 -1.497
-4.076 -3.820 4.769
Pr Na Ac
1 1 4
Direct
0.250 0.250 0.250
0.000 0.000 0.000
0.624 0.624 0.129
0.624 0.129 0.624
0.624 0.624 0.624
0.129 0.624 0.624
```

Values from the calculation:
Density of states at the Fermi level in states/eV/atom: 1.717
E_form in eV/atom: 0.38
Space group: F-43m
Crystal system: cubic


Entry 15:
# NaAc2Pr

A relaxed structure of NaAc2Pr (GGA-PBE, Alexandria via LeMat-Bulk).

Cell and atoms, written as POSCAR:
```
NaAc2Pr
1.0
-1.260 -2.630 2.739
5.607 -2.950 -0.254
2.187 3.759 4.615
Pr Na Ac
1 1 2
Direct
0.500 0.500 0.500
0.500 0.000 0.000
0.000 0.000 0.500
0.000 0.500 0.000
```

Values from the calculation:
Density of states at the Fermi level in states/eV/atom: 1.179
E_form in eV/atom: 0.13
Space group: P4/mmm
Energy relative to the lowest polymorph listed for this composition in eV/atom: 0.056
Crystal system: tetragonal


Entry 16:
# NaAc2Pr

A relaxed structure of NaAc2Pr (GGA-PBE, Alexandria via LeMat-Bulk).

Cell and atoms, written as POSCAR:
```
NaAc2Pr
1.0
-2.608 0.371 2.880
0.007 -2.524 2.977
7.226 6.801 8.309
Na Ac Pr
1 2 1
Direct
0.667 0.667 0.000
0.087 0.087 0.740
0.247 0.247 0.260
0.500 0.500 0.500
```

Values from the calculation:
Density of states at the Fermi level in states/eV/atom: 1.086
E_form in eV/atom: 0.08
Space group: R3m
Energy relative to the lowest polymorph listed for this composition in eV/atom: 0.000
Crystal system: trigonal


Entry 17:
# NaAc2Pr

A relaxed structure of NaAc2Pr (GGA-PBE, Alexandria via LeMat-Bulk).

Cell and atoms, written as POSCAR:
```
NaAc2Pr
1.0
-1.498 3.409 1.046
-0.945 -1.563 -3.409
-10.157 -6.199 5.657
Na Ac Pr
1 2 1
Direct
0.667 0.333 0.523
0.667 0.333 0.240
0.333 0.667 0.774
0.000 0.000 0.008
```

Values from the calculation:
Density of states at the Fermi level in states/eV/atom: 0.900
E_form in eV/atom: 0.10
Space group: P3m1
Energy relative to the lowest polymorph listed for this composition in eV/atom: 0.023
Crystal system: trigonal


Entry 18:
# NaAcPr

A relaxed structure of NaAcPr (GGA-PBE, Alexandria via LeMat-Bulk).

Cell and atoms, written as POSCAR:
```
NaAcPr
1.0
-0.187 -2.461 -5.333
3.770 -0.216 -0.032
-2.415 -9.908 4.656
Na Ac Pr
2 2 2
Direct
0.846 0.788 0.999
0.348 0.201 0.825
0.347 0.383 0.187
0.847 0.607 0.636
0.347 0.034 0.490
0.847 0.957 0.334
```

Values from the calculation:
Density of states at the Fermi level in states/eV/atom: 1.066
E_form in eV/atom: 0.09
Space group: C2/m
Energy relative to the lowest polymorph listed for this composition in eV/atom: 0.000
Crystal system: monoclinic


Entry 19:
# NaAcPr

A relaxed structure of NaAcPr (GGA-PBE, Alexandria via LeMat-Bulk).

Cell and atoms, written as POSCAR:
```
NaAcPr
1.0
-3.649 -0.956 -0.278
0.996 -3.487 -1.074
1.361 -0.242 8.707
Pr Na Ac
1 1 1
Direct
0.669 0.669 0.337
0.004 0.004 0.008
0.327 0.327 0.655
```

Values from the calculation:
Density of states at the Fermi level in states/eV/atom: 1.112
E_form in eV/atom: 0.12
Space group: I4mm
Energy relative to the lowest polymorph listed for this composition in eV/atom: 0.031
Crystal system: tetragonal


Entry 20:
# NaAc2Pr

A relaxed structure of NaAc2Pr (GGA-PBE, Alexandria via LeMat-Bulk).

Cell and atoms, written as POSCAR:
```
NaAc2Pr
1.0
3.857 0.000 0.000
0.000 3.857 0.000
0.000 0.000 11.200
Pr Na Ac
1 1 2
Direct
0.500 0.500 0.000
0.500 0.500 0.500
0.000 0.000 0.763
0.000 0.000 0.237
```

Values from the calculation:
Density of states at the Fermi level in states/eV/atom: 0.997
E_form in eV/atom: 0.08
Space group: P4/mmm
Energy relative to the lowest polymorph listed for this composition in eV/atom: 0.000
Crystal system: tetragonal


Entry 21:
# NaAc2Pr

A relaxed structure of NaAc2Pr (GGA-PBE, Alexandria via LeMat-Bulk).

Cell and atoms, written as POSCAR:
```
NaAc2Pr
1.0
-0.672 -3.788 -0.090
2.938 -2.469 -0.295
1.703 -2.575 13.382
Pr Na Ac
1 1 2
Direct
0.500 0.500 0.500
0.000 0.000 0.000
0.091 0.091 0.726
0.909 0.909 0.274
```

Values from the calculation:
Density of states at the Fermi level in states/eV/atom: 1.000
E_form in eV/atom: 0.14
Space group: R-3m
Energy relative to the lowest polymorph listed for this composition in eV/atom: 0.059
Crystal system: trigonal


Entry 22:
# NaAcPrRu

A relaxed structure of NaAcPrRu (GGA-PBE, Alexandria via LeMat-Bulk).

Cell and atoms, written as POSCAR:
```
NaAcPrRu
1.0
5.347 0.000 0.000
2.674 4.631 0.000
2.674 1.544 4.366
Pr Ru Ac Na
1 1 1 1
Direct
0.500 0.500 0.500
0.750 0.750 0.750
0.000 0.000 0.000
0.250 0.250 0.250
```

Values from the calculation:
Density of states at the Fermi level in states/eV/atom: 0.788
E_form in eV/atom: 0.13
Space group: F-43m
Crystal system: cubic


Entry 23:
# NaAc2PrS4

A relaxed structure of NaAc2PrS4 (GGA-PBE, Alexandria via LeMat-Bulk).

Cell and atoms, written as POSCAR:
```
NaAc2PrS4
1.0
4.235 0.000 0.000
0.000 7.190 -0.085
0.000 2.576 6.935
Na Ac Pr S
1 2 1 4
Direct
0.500 0.500 0.000
0.000 0.000 0.000
0.500 0.000 0.500
0.000 0.500 0.500
0.000 0.742 0.751
0.000 0.258 0.249
0.500 0.739 0.252
0.500 0.261 0.748
```

Values from the calculation:
Density of states at the Fermi level in states/eV/atom: 0.327
Space group: P2/m
Crystal system: monoclinic
Formation energy from raw total energies in meV/atom: -1896.8


Entry 24:
# NaAc3Pr2S6

A relaxed structure of NaAc3Pr2S6 (GGA-PBE, Alexandria via LeMat-Bulk).

Cell and atoms, written as POSCAR:
```
NaAc3Pr2S6
1.0
7.331 -0.009 -0.003
-3.672 6.345 -0.003
-1.223 -2.118 6.810
Na Ac Pr S
1 3 2 6
Direct
0.000 0.000 0.000
0.166 0.834 0.500
0.834 0.166 0.500
0.500 0.500 0.500
0.334 0.666 0.000
0.666 0.334 0.000
0.921 0.589 0.761
0.748 0.748 0.236
0.079 0.411 0.239
0.589 0.921 0.761
0.252 0.252 0.764
0.411 0.079 0.239
```

Values from the calculation:
Density of states at the Fermi level in states/eV/atom: 0.452
Space group: C2/m
Crystal system: monoclinic
Formation energy from raw total energies in meV/atom: -1933.8


Entry 25:
# Na2AcPrS4

A relaxed structure of Na2AcPrS4 (GGA-PBE, Alexandria via LeMat-Bulk).

Cell and atoms, written as POSCAR:
```
Na2AcPrS4
1.0
4.268 0.000 0.000
0.000 7.402 0.126
0.000 -2.578 6.651
Na Ac Pr S
2 1 1 4
Direct
0.500 0.000 0.500
0.000 0.500 0.500
0.000 0.000 0.000
0.500 0.500 0.000
0.500 0.255 0.239
0.500 0.745 0.761
0.000 0.263 0.765
0.000 0.737 0.235
```

Values from the calculation:
Density of states at the Fermi level in states/eV/atom: 0.000
Space group: P2/m
Crystal system: monoclinic
Formation energy from raw total energies in meV/atom: -1792.1